A relaxed YScTa crystal. Source: Alexandria, functional PBE.

Calculated values
Space-group type   P-6m2, No. 187
Polymorph energy (0 for the lowest one)   44 meV per atom

Unit cell a=5.0498 b=5.0498 c=3.1896 alpha=90.00 beta=90.00 gamma=120.00
Closest atoms and distances in Å follow each position.
Element x y z (fractional)
Y 0.3333 0.6667 0.6666  2 Y 3.19, 6 Sc 3.32, 6 Ta 3.32
Ta 0.6667 0.3333 0.1667  3 Sc 2.92, 2 Ta 3.19
Sc 0.0000 0.0000 0.1667  3 Ta 2.92, 2 Sc 3.19



A relaxed Y2ScTa crystal. Source: Alexandria, functional PBE.

Calculated values
Space-group type   P4/mmm, No. 123
Polymorph energy (0 for the lowest one)   90 meV per atom

Unit cell a=3.2225 b=3.2225 c=9.9788 alpha=90.00 beta=90.00 gamma=90.07
Closest atoms and distances in Å follow each position.
Element x y z (fractional)
Ta 0.5000 0.5000 0.7500  8 Y 3.21, 4 Ta 3.22
Y 0.0000 0.0000 0.5240  4 Ta 3.21, 4 Y 3.22, 4 Sc 3.56
Y 0.0000 0.0000 0.9760  4 Ta 3.21, 4 Y 3.22, 4 Sc 3.56
Sc 0.5000 0.5000 0.2500  4 Sc 3.22, 8 Y 3.56



A relaxed YScTa4 crystal. Source: Alexandria, functional PBE.

Calculated values
Space-group type   F-43m, No. 216

Unit cell a=5.6754 b=5.6754 c=5.6754 alpha=60.00 beta=60.00 gamma=60.00
Closest atoms and distances in Å follow each position.
Element x y z (fractional)
Ta 0.3753 0.8741 0.3753  6 Ta 2.83-2.84
Ta 0.8741 0.3753 0.3753  6 Ta 2.83-2.84
Ta 0.3753 0.3753 0.8741  6 Ta 2.83-2.84
Ta 0.3753 0.3753 0.3753  6 Ta 2.83-2.84
Sc 0.0000 0.0000 0.0000  12 Ta 3.33, 4 Y 3.48
Y 0.7500 0.7500 0.7500  12 Ta 3.33, 4 Sc 3.48



A relaxed Y2ScTa crystal. Source: Alexandria, functional PBE.

Calculated values
Space-group type   I-42d, No. 122
Polymorph energy (0 for the lowest one)   578 meV per atom

Unit cell a=8.1824 b=8.1824 c=6.5886 alpha=51.61 beta=51.61 gamma=90.00
Closest atoms and distances in Å follow each position.
Element x y z (fractional)
Y 0.8750 0.8853 0.7500  2 Ta 2.94, 2 Sc 3.06, 2 Y 3.16
Y 0.3750 0.3647 0.7500  2 Ta 2.94, 2 Sc 3.06, 2 Y 3.16
Y 0.6353 0.1250 0.2500  2 Ta 2.94, 2 Sc 3.06, 2 Y 3.16
Y 0.1147 0.6250 0.2500  2 Ta 2.94, 2 Sc 3.06, 2 Y 3.16
Ta 0.7500 0.2500 0.5000  4 Y 2.94, 2 Sc 3.15
Ta 0.0000 0.0000 0.0000  4 Y 2.94, 2 Sc 3.15
Sc 0.2500 0.7500 0.5000  4 Y 3.06, 2 Ta 3.15
Sc 0.5000 0.5000 0.0000  4 Y 3.06, 2 Ta 3.15



A relaxed Y2ScTa crystal. Source: Alexandria, functional PBE.

Calculated values
Space-group type   C2/m, No. 12
Polymorph energy (0 for the lowest one)   129 meV per atom

Unit cell a=5.6626 b=5.6626 c=5.8291 alpha=81.12 beta=81.12 gamma=33.24
Closest atoms and distances in Å follow each position.
Element x y z (fractional)
Y 0.9932 0.9932 0.0098  3 Ta 3.22-3.31, 6 Y 3.24-3.42, 3 Sc 3.25-3.36
Y 0.5068 0.5068 0.4902  3 Ta 3.22-3.31, 6 Y 3.24-3.42, 3 Sc 3.25-3.36
Sc 0.7500 0.7500 0.7500  2 Sc 3.24, 6 Y 3.25-3.36, 4 Ta 3.33
Ta 0.2500 0.2500 0.2500  6 Y 3.22-3.31, 2 Ta 3.24, 4 Sc 3.33



A relaxed YScTa2 crystal. Source: Alexandria, functional PBE.

Calculated values
Space-group type   Cm, No. 8
Polymorph energy (0 for the lowest one)   170 meV per atom

Unit cell a=5.1737 b=5.1737 c=5.9917 alpha=85.57 beta=85.57 gamma=33.97
Closest atoms and distances in Å follow each position.
Element x y z (fractional)
Sc 0.2604 0.2604 0.2138  5 Ta 2.97-3.05, 2 Sc 3.02, 1 Y 3.04
Ta 0.0014 0.0014 0.9853  5 Ta 2.90-3.02, 3 Sc 3.00-3.05, 2 Y 3.23
Ta 0.7422 0.7422 0.7912  5 Ta 2.90-3.02, 2 Sc 2.97, 1 Y 3.07
Y 0.4960 0.4960 0.5096  2 Y 3.02, 1 Sc 3.04, 5 Ta 3.07-3.28



A relaxed ScTa2Zn crystal. Source: Alexandria, functional PBE.

Calculated values
Space-group type   Cmmm, No. 65

Unit cell a=2.8666 b=2.8666 c=8.8914 alpha=90.00 beta=90.00 gamma=90.10
Closest atoms and distances in Å follow each position.
Element x y z (fractional)
Sc 0.5000 0.5000 0.7500  4 Sc 2.87, 8 Ta 3.18
Ta 0.0000 0.0000 0.0261  4 Zn 2.84, 4 Ta 2.87
Ta 0.0000 0.0000 0.4739  4 Zn 2.84, 4 Ta 2.87
Zn 0.5000 0.5000 0.2500  8 Ta 2.84, 4 Zn 2.87



A relaxed ScTa2Zn crystal. Source: Alexandria, functional PBE.

Calculated values
Space-group type   Imm2, No. 44

Unit cell a=5.6748 b=5.6748 c=5.6748 alpha=148.68 beta=127.93 gamma=62.04
Closest atoms and distances in Å follow each position.
Element x y z (fractional)
Ta 0.9855 0.9855 0.0000  4 Ta 2.80-3.06, 4 Zn 2.93, 2 Sc 3.09
Ta 0.7447 0.2447 0.5000  2 Zn 2.76, 4 Ta 2.80-3.06, 4 Sc 2.93
Sc 0.2609 0.7609 0.5000  2 Zn 2.86, 6 Ta 2.93-3.09, 2 Sc 3.06
Zn 0.5089 0.5089 0.0000  6 Ta 2.76-2.93, 2 Sc 2.86, 2 Zn 3.06



A relaxed ScTaZn3 crystal. Source: Alexandria, functional PBE.

Calculated values
Space-group type   Pm-3m, No. 221
Polymorph energy (0 for the lowest one)   0 meV per atom

Unit cell a=4.8909 b=4.8909 c=4.8909 alpha=90.00 beta=90.00 gamma=90.00
Closest atoms and distances in Å follow each position.
Element x y z (fractional)
Ta 0.0000 0.0000 0.0000  6 Zn 2.45
Zn 0.5000 0.0000 0.0000  2 Ta 2.45
Zn 0.0000 0.0000 0.5000  2 Ta 2.45
Zn 0.0000 0.5000 0.0000  2 Ta 2.45
Sc 0.5000 0.5000 0.5000  12 Zn 3.46



A relaxed Sc2TaZn crystal. Source: Alexandria, functional PBE.

Calculated values
Space-group type   R3m, No. 160

Unit cell a=9.8887 b=9.8887 c=9.8887 alpha=18.13 beta=18.13 gamma=18.13
Closest atoms and distances in Å follow each position.
Element x y z (fractional)
Sc 0.0087 0.0087 0.0087  3 Zn 2.89, 6 Sc 3.12
Sc 0.2433 0.2433 0.2433  3 Ta 2.98, 6 Sc 3.12
Zn 0.7528 0.7528 0.7528  3 Ta 2.85, 3 Sc 2.89, 6 Zn 3.12
Ta 0.4952 0.4952 0.4952  3 Zn 2.85, 3 Sc 2.98, 6 Ta 3.12



A relaxed ScTa2Zn crystal. Source: Alexandria, functional PBE.

Calculated values
Space-group type   R3m, No. 160

Unit cell a=9.5721 b=9.5721 c=9.5721 alpha=18.29 beta=18.29 gamma=18.29
Closest atoms and distances in Å follow each position.
Element x y z (fractional)
Ta 0.9987 0.9987 0.9987  9 Ta 2.95-3.04, 3 Sc 3.00
Ta 0.2480 0.2480 0.2480  3 Zn 2.85, 9 Ta 2.95-3.04
Sc 0.7514 0.7514 0.7514  3 Zn 2.95, 3 Ta 3.00, 6 Sc 3.04
Zn 0.5019 0.5019 0.5019  3 Ta 2.85, 3 Sc 2.95, 6 Zn 3.04



A relaxed ScTa2Zn crystal. Source: Alexandria, functional PBE.

Calculated values
Space-group type   Cm, No. 8

Unit cell a=5.0948 b=5.0948 c=5.1931 alpha=79.31 beta=79.31 gamma=33.96
Closest atoms and distances in Å follow each position.
Element x y z (fractional)
Sc 0.7619 0.7619 0.7221  3 Zn 2.87-2.89, 7 Ta 2.96-3.19, 2 Sc 2.98
Zn 0.5092 0.5092 0.5089  6 Ta 2.82-3.06, 3 Sc 2.87-2.89, 2 Zn 2.98
Ta 0.2392 0.2392 0.2395  2 Zn 2.82, 5 Ta 2.85-2.98, 4 Sc 2.96-3.04
Ta 0.9897 0.9897 0.0294  5 Ta 2.85-2.98, 4 Zn 2.94-3.06, 3 Sc 2.97-3.19



A relaxed Sc2TaZn2 crystal. Source: Alexandria, functional PBE.

Calculated values
Space-group type   P4/mbm, No. 127

Unit cell a=7.6386 b=7.6386 c=3.1855 alpha=90.00 beta=90.00 gamma=90.00
Closest atoms and distances in Å follow each position.
Element x y z (fractional)
Sc 0.3207 0.1793 0.5000  6 Zn 2.69-2.82
Sc 0.8207 0.3207 0.5000  6 Zn 2.69-2.82
Sc 0.6793 0.8207 0.5000  6 Zn 2.69-2.82
Sc 0.1793 0.6793 0.5000  6 Zn 2.69-2.82
Ta 0.5000 0.5000 0.0000  4 Zn 3.04, 2 Ta 3.19, 8 Sc 3.23
Ta 0.0000 0.0000 0.0000  4 Zn 3.04, 2 Ta 3.19, 8 Sc 3.23
Zn 0.3798 0.8798 0.0000  1 Zn 2.60, 6 Sc 2.69-2.82
Zn 0.6202 0.1202 0.0000  1 Zn 2.60, 6 Sc 2.69-2.82
Zn 0.1202 0.3798 0.0000  1 Zn 2.60, 6 Sc 2.69-2.82
Zn 0.8798 0.6202 0.0000  1 Zn 2.60, 6 Sc 2.69-2.82



A relaxed Sc4TaZn crystal. Source: Alexandria, functional PBE.

Calculated values
Space-group type   F-43m, No. 216

Unit cell a=5.6596 b=5.6596 c=5.6596 alpha=60.00 beta=60.00 gamma=60.00
Closest atoms and distances in Å follow each position.
Element x y z (fractional)
Sc 0.3763 0.3763 0.3763  6 Sc 2.80-2.86
Sc 0.3763 0.3763 0.8712  6 Sc 2.80-2.86
Sc 0.8712 0.3763 0.3763  6 Sc 2.80-2.86
Sc 0.3763 0.8712 0.3763  6 Sc 2.80-2.86
Ta 0.7500 0.7500 0.7500  12 Sc 3.32, 4 Zn 3.47
Zn 0.0000 0.0000 0.0000  12 Sc 3.32, 4 Ta 3.47



Let's list E_tot in order: -23.81; -29.92; -58.72; -55.95; -29.77; -35.23; -30.81; -30.56; -17.84; -25.35; -30.74; -30.78; -54.47; -35.46 eV for the cell shown.
Let's list magnetic moment in order: 0.0; 0.0; 1.0; 1.2; 0.0; 0.0; 0.0; 0.0; 0.0; 0.2; 0.0; 0.0; 0.0; 1.1 μB per cell.